1.
Density functional theory data (PBE) for an optimized crystal structure of Na2NpTlO6.

Calculated values
The crystal system is monoclinic. The formation energy without anion corrections is -18.7 eV per formula unit. For the total moment, the calculation gives 0.000 μB/f.u.

Cell lengths 5.771, 5.897, 8.245 Å; angles 90.00, 89.75, 90.00 degrees
Element x y z (fractional)
O 0.824 0.781 0.941
O 0.289 0.686 0.048
O 0.324 0.719 0.441
O 0.676 0.281 0.559
O 0.789 0.814 0.548
O 0.211 0.186 0.452
O 0.711 0.314 0.952
O 0.602 0.042 0.265
O 0.176 0.219 0.059
O 0.898 0.542 0.235
O 0.102 0.458 0.765
O 0.398 0.958 0.735
Na 0.508 0.542 0.754
Na 0.492 0.458 0.246
Na 0.008 0.958 0.254
Na 0.992 0.042 0.746
Tl 0.000 0.500 0.500
Tl 0.500 0.000 0.000
Np 0.500 0.000 0.500
Np 0.000 0.500 0.000


2.
Density functional theory data (PBE) for an optimized crystal structure of Li2NdAg.

Calculated values
The crystal system is cubic. Its calculated formation energy is 0.035 eV per atom. The calculation puts the distance to the lowest polymorph of the same formula at 12.4 kJ per mole of atoms. For the total moment, the calculation gives 0.004 μB/f.u. The density of states at the Fermi level comes out at 5.41 states/eV/cell.

Cell lengths 4.928, 4.928, 4.928 Å; angles 60.00, 60.00, 60.00 degrees
Element x y z (fractional)
Li 0.250 0.250 0.250
Li 0.750 0.750 0.750
Nd 0.000 0.000 0.000
Ag 0.500 0.500 0.500


3.
Density functional theory data (PBE) for an optimized crystal structure of Y2Ho2Sn7.

Calculated values
The crystal system is monoclinic. Its calculated formation energy is -0.351 eV per atom. For the total moment, the calculation gives 0.000 μB/f.u. The density of states at the Fermi level comes out at 6.54 states/eV/cell.

Cell lengths 8.100, 5.400, 8.100 Å; angles 109.55, 104.34, 70.45 degrees
Element x y z (fractional)
Y 0.802 0.500 0.802
Y 0.198 0.500 0.198
Sn 0.499 0.194 0.886
Sn 0.499 0.751 0.501
Sn 0.000 0.000 0.000
Sn 0.886 0.806 0.499
Sn 0.501 0.249 0.499
Sn 0.114 0.194 0.501
Sn 0.501 0.806 0.114
Ho 0.257 0.742 0.743
Ho 0.743 0.258 0.257


4.
Density functional theory data (PBE) for an optimized crystal structure of La2PrPt.

Calculated values
The crystal system is trigonal. Its calculated formation energy is -0.516 eV per atom. The calculation puts the distance to the lowest polymorph of the same formula at 11.2 kJ per mole of atoms. For the total moment, the calculation gives 0.000 μB/f.u. The density of states at the Fermi level comes out at 4.42 states/eV/cell.

Cell lengths 4.028, 4.028, 9.996 Å; angles 78.38, 78.38, 60.00 degrees
Element x y z (fractional)
La 0.728 0.728 0.816
La 0.272 0.272 0.184
Pt 0.000 0.000 0.000
Pr 0.500 0.500 0.500


5.
Density functional theory data (PBE) for an optimized crystal structure of LaTiPS2.

Calculated values
The crystal system is tetragonal. The formation energy without anion corrections is -6.5 eV per formula unit. The calculation puts the distance to the lowest polymorph of the same formula at 0.0 kJ per mole of atoms. For the total moment, the calculation gives 0.000 μB/f.u. The density of states at the Fermi level comes out at 1.06 states/eV/cell.

Cell lengths 4.686, 4.686, 4.820 Å; angles 90.00, 90.00, 90.00 degrees
Element x y z (fractional)
Ti 0.000 0.000 0.000
La 0.500 0.500 0.500
S 0.000 0.500 0.000
S 0.500 0.000 0.000
P 0.000 0.000 0.500


6.
Density functional theory data (PBE) for an optimized crystal structure of MgBiBr2.

Calculated values
The crystal system is trigonal. The formation energy without anion corrections is -3.4 eV per formula unit. The calculation puts the distance to the lowest polymorph of the same formula at 0.0 kJ per mole of atoms. For the total moment, the calculation gives 0.000 μB/f.u. The density of states at the Fermi level comes out at 2.38 states/eV/cell.

Cell lengths 13.259, 13.259, 13.259 Å; angles 15.80, 15.80, 15.80 degrees
Element x y z (fractional)
Br 0.874 0.874 0.874
Br 0.126 0.126 0.126
Mg 0.500 0.500 0.500
Bi 0.000 0.000 0.000


7.
Density functional theory data (PBE) for an optimized crystal structure of KPt4F12.

Calculated values
The crystal system is cubic. The formation energy without anion corrections is -21.5 eV per formula unit. For the total moment, the calculation gives 0.000 μB/f.u. The density of states at the Fermi level comes out at 8.77 states/eV/cell.

Cell lengths 7.111, 7.111, 7.111 Å; angles 109.47, 109.47, 109.47 degrees
Element x y z (fractional)
F 0.073 0.796 0.277
F 0.277 0.481 0.204
F 0.277 0.073 0.796
F 0.204 0.277 0.481
F 0.796 0.277 0.073
F 0.927 0.204 0.723
F 0.519 0.796 0.723
F 0.723 0.927 0.204
F 0.204 0.723 0.927
F 0.481 0.204 0.277
F 0.796 0.723 0.519
F 0.723 0.519 0.796
Pt 0.500 0.500 0.500
Pt 0.000 0.500 0.000
Pt 0.500 0.000 0.000
Pt 0.000 0.000 0.500
K 0.000 0.000 0.000


8.
Density functional theory data (PBE) for an optimized crystal structure of SmEr5Tm6.

Calculated values
The crystal system is monoclinic. Its calculated formation energy is 0.024 eV per atom. For the total moment, the calculation gives 0.000 μB/f.u. The density of states at the Fermi level comes out at 16.68 states/eV/cell.

Cell lengths 6.073, 6.068, 11.620 Å; angles 85.00, 79.97, 59.97 degrees
Element x y z (fractional)
Tm 0.583 0.334 0.251
Tm 0.417 0.666 0.749
Tm 0.750 0.000 0.749
Tm 0.083 0.334 0.749
Tm 0.917 0.666 0.251
Tm 0.250 0.000 0.251
Er 0.333 0.333 0.000
Er 0.833 0.334 0.500
Er 0.500 0.000 0.500
Er 0.167 0.666 0.500
Er 0.667 0.667 0.000
Sm 0.000 0.000 0.000


9.
Density functional theory data (PBE) for an optimized crystal structure of SrScOs2.

Calculated values
The crystal system is orthorhombic. Its calculated formation energy is 0.686 eV per atom. For the total moment, the calculation gives 0.019 μB/f.u. The density of states at the Fermi level comes out at 3.16 states/eV/cell.

Cell lengths 5.450, 5.450, 2.718 Å; angles 90.00, 90.00, 106.15 degrees
Element x y z (fractional)
Os 0.000 0.000 0.000
Os 0.500 0.500 0.000
Sr 0.000 0.500 0.500
Sc 0.500 0.000 0.500


10.
Density functional theory data (PBE) for an optimized crystal structure of HoAgH.

Calculated values
The crystal system is monoclinic. The final energy comes out at -11.424 eV per formula unit. For the total moment, the calculation gives 0.000 μB/f.u. The density of states at the Fermi level comes out at 2.14 states/eV/cell.

Cell lengths 3.649, 4.473, 7.621 Å; angles 92.37, 90.00, 114.07 degrees
Element x y z (fractional)
Ag 0.145 0.291 0.403
Ag 0.855 0.709 0.597
H 0.347 0.693 0.031
H 0.653 0.307 0.969
Ho 0.837 0.673 0.177
Ho 0.163 0.327 0.823


11.
Density functional theory data (PBE) for an optimized crystal structure of K4La3DyTe8.

Calculated values
The crystal system is trigonal. The formation energy without anion corrections is -23.5 eV per formula unit. For the total moment, the calculation gives 0.000 μB/f.u. The density of states at the Fermi level comes out at 0.00 states/eV/cell.

Cell lengths 9.321, 9.836, 9.321 Å; angles 118.28, 120.00, 90.00 degrees
Element x y z (fractional)
Te 0.261 0.282 0.522
Te 0.232 0.713 0.465
Te 0.768 0.287 0.020
Te 0.252 0.287 0.020
Te 0.748 0.713 0.980
Te 0.739 0.718 0.478
Te 0.232 0.713 0.980
Te 0.768 0.287 0.535
La 0.500 0.500 0.000
La 0.500 0.500 0.500
La 0.000 0.500 0.500
K 0.000 0.000 0.500
K 0.000 0.000 0.000
K 0.500 0.000 0.000
K 0.500 0.000 0.500
Dy 0.000 0.500 0.000


12.
Density functional theory data (PBE) for an optimized crystal structure of Ca4TlSn.

Calculated values
The crystal system is monoclinic. Its calculated formation energy is -0.380 eV per atom. The calculation puts the distance to the lowest polymorph of the same formula at 0.4 kJ per mole of atoms. For the total moment, the calculation gives 0.425 μB/f.u. The density of states at the Fermi level comes out at 12.79 states/eV/cell.

Cell lengths 5.310, 9.280, 11.879 Å; angles 130.91, 102.91, 90.00 degrees
Each line ends with the local moment (μB).
Element x y z (fractional)
Ca 0.314 0.024 0.128  0.00
Ca 0.437 0.561 0.373  0.03
Ca 0.937 0.061 0.373  0.03
Ca 0.814 0.524 0.128  0.00
Ca 0.686 0.976 0.872  0.00
Ca 0.063 0.939 0.627  0.03
Ca 0.186 0.476 0.872  0.00
Ca 0.563 0.439 0.627  0.03
Sn 0.250 0.250 0.000  0.01
Sn 0.750 0.750 0.000  0.01
Tl 0.500 0.000 0.500  0.07
Tl 0.000 0.500 0.500  0.07